The following is a DFT calculation (PBE) of a relaxed structure of TlAs2HS.

**Total magnetic moment**: 0.00 μB/f.u.
**Energy**: -2.9564 eV/atom
**Density of states at the Fermi level**: 0.642 states/eV/atom
**Crystal system**: tetragonal

abc: 5.429 3.571 5.429
angles: 90.00 90.00 90.00
Fractional positions:
S1 0.500 0.500 0.500
As1 0.000 0.000 0.500
H1 0.000 0.500 0.000
As2 0.500 0.000 0.000
Tl1 0.000 0.000 0.000